1.
! Tl3Ir5 (PBE, relaxed); values from VASP
&SYSTEM
  ibrav = 0, nat = 16, ntyp = 2
/
ATOMIC_SPECIES
Tl 204.38 Tl.upf
Ir 192.22 Ir.upf
ATOMIC_POSITIONS angstrom
Tl -1.622 2.809 1.263
Tl -2.543 4.404 3.790
Tl 3.244 0.000 1.263
Tl 1.622 2.809 3.790
Tl 5.086 0.000 3.790
Tl 2.543 4.404 1.263
Ir -0.755 1.307 3.790
Ir -3.410 5.906 1.263
Ir 1.509 0.000 3.790
Ir 0.755 1.307 1.263
Ir 0.000 4.809 0.000
Ir 0.000 4.809 2.527
Ir 4.165 2.404 0.000
Ir 4.165 2.404 2.527
Ir 6.820 0.000 1.263
Ir 3.410 5.906 3.790
CELL_PARAMETERS angstrom
8.329 0.000 0.000
-4.165 7.213 0.000
0.000 0.000 5.054
! Space group: P6_3/mcm (193)
! E (eV per atom): -5.61



2.
! NaVNi2N (PBE, relaxed); values from VASP
&SYSTEM
  ibrav = 0, nat = 5, ntyp = 4
/
ATOMIC_SPECIES
Na 22.99 Na.upf
V 50.94 V.upf
Ni 58.69 Ni.upf
N 14.01 N.upf
ATOMIC_POSITIONS angstrom
Na 0.000 0.000 0.000
V 2.114 2.114 1.973
Ni 0.000 2.114 0.000
Ni 2.114 0.000 0.000
N 0.000 0.000 1.973
CELL_PARAMETERS angstrom
4.228 0.000 0.000
0.000 4.228 0.000
0.000 0.000 3.946
! ΔE_f (raw) (meV/atom): 2105
! Space group: P4/mmm (123)
! E (eV per atom): -3.96



3.
! Li2ZrTe (PBE, relaxed); values from VASP
&SYSTEM
  ibrav = 0, nat = 4, ntyp = 3
/
ATOMIC_SPECIES
Li 6.94 Li.upf
Zr 91.22 Zr.upf
Te 127.60 Te.upf
ATOMIC_POSITIONS angstrom
Li 0.000 0.000 0.000
Li 1.842 1.842 1.345
Zr 1.842 1.842 4.497
Te 0.000 0.000 3.098
CELL_PARAMETERS angstrom
3.683 0.000 0.000
0.000 3.683 0.000
0.000 0.000 6.313
! ΔE_f (raw) (meV/atom): -333
! Space group: P4mm (99)
! E (eV per atom): -4.21